No. 1
First-principles (PBE) data for GeRuPbF2 after structural relaxation, as listed in Alexandria via LeMat-Bulk.

abc: 4.0689 5.2220 4.0689
angles: 90.00 90.00 90.00
Last column: nearest neighbours and their distance in Å.
Positions (direct):
Pb (0.5000, 0.5000, 0.5000)  4 Ru 2.88
F (0.0000, 0.0000, 0.5000)  2 Ge 2.03
F (0.5000, 0.0000, 0.0000)  2 Ge 2.03
Ge (0.0000, 0.0000, 0.0000)  4 F 2.03
Ru (0.0000, 0.5000, 0.0000)  2 Ge 2.61, 4 Pb 2.88

DFT total energy ... -5.03 eV per atom
SG ... P4/mmm, No. 123
DOS(E_F) ... 1.92 states/eV/cell


No. 2
First-principles (PBE) data for Ge2PbSF after structural relaxation, as listed in Alexandria via LeMat-Bulk.

abc: 5.5037 4.4245 5.5037
angles: 90.00 90.00 90.00
Last column: nearest neighbours and their distance in Å.
Positions (direct):
S (0.5000, 0.5000, 0.5000)  8 Ge 3.53, 4 F 3.89
F (0.0000, 0.5000, 0.0000)  2 Pb 2.21
Pb (0.0000, 0.0000, 0.0000)  2 F 2.21
Ge (0.5000, 0.0000, 0.0000)  2 Pb 2.75
Ge (0.0000, 0.0000, 0.5000)  2 Pb 2.75

DFT total energy ... -3.62 eV per atom
SG ... P4/mmm, No. 123
DOS(E_F) ... 3.19 states/eV/cell


No. 3
First-principles (PBE) data for Ge2PdF after structural relaxation, as listed in Alexandria via LeMat-Bulk.

abc: 4.4022 4.4022 4.4022
angles: 60.00 60.00 60.00
Last column: nearest neighbours and their distance in Å.
Positions (direct):
Pd (0.5000, 0.5000, 0.5000)  8 Ge 2.70
Ge (0.7500, 0.7500, 0.7500)  4 F 2.70, 4 Pd 2.70
Ge (0.2500, 0.2500, 0.2500)  4 F 2.70, 4 Pd 2.70
F (0.0000, 0.0000, 0.0000)  8 Ge 2.70

DFT total energy ... -4.65 eV per atom
Energy relative to the lowest polymorph listed for this composition ... 0 meV/atom
SG ... Fm-3m, No. 225
DOS(E_F) ... 2.12 states/eV/cell


No. 4
First-principles (PBE) data for GePd3F after structural relaxation, as listed in Alexandria via LeMat-Bulk.

abc: 4.3751 4.3751 4.3751
angles: 90.00 90.00 90.00
Last column: nearest neighbours and their distance in Å.
Positions (direct):
Pd (0.5000, 0.0000, 0.0000)  2 F 2.19
Pd (0.0000, 0.5000, 0.0000)  2 F 2.19
Pd (0.0000, 0.0000, 0.5000)  2 F 2.19
Ge (0.5000, 0.5000, 0.5000)  12 Pd 3.09
F (0.0000, 0.0000, 0.0000)  6 Pd 2.19

DFT total energy ... -4.26 eV per atom
Energy relative to the lowest polymorph listed for this composition ... 4 meV/atom
SG ... Pm-3m, No. 221
DOS(E_F) ... 1.61 states/eV/cell


No. 5
First-principles (PBE) data for Ge2PdF2 after structural relaxation, as listed in Alexandria via LeMat-Bulk.

abc: 3.4536 3.4536 6.4974
angles: 74.59 74.59 90.00
Last column: nearest neighbours and their distance in Å.
Positions (direct):
F (0.7500, 0.2500, 0.5000)  4 Ge 2.33, 4 F 2.44
F (0.2500, 0.7500, 0.5000)  4 Ge 2.33, 4 F 2.44
Ge (0.6196, 0.6196, 0.7607)  4 F 2.33
Ge (0.3804, 0.3804, 0.2393)  4 F 2.33
Pd (0.0000, 0.0000, 0.0000)  8 Ge 2.84

DFT total energy ... -4.56 eV per atom
Energy relative to the lowest polymorph listed for this composition ... 140 meV/atom
SG ... I4/mmm, No. 139
DOS(E_F) ... 1.23 states/eV/cell


No. 6
First-principles (PBE) data for GePdF3 after structural relaxation, as listed in Alexandria via LeMat-Bulk.

abc: 4.2460 4.2460 4.2460
angles: 90.00 90.00 90.00
Last column: nearest neighbours and their distance in Å.
Positions (direct):
F (0.0000, 0.0000, 0.5000)  2 Ge 2.12
F (0.0000, 0.5000, 0.0000)  2 Ge 2.12
F (0.5000, 0.0000, 0.0000)  2 Ge 2.12
Pd (0.5000, 0.5000, 0.5000)  12 F 3.00
Ge (0.0000, 0.0000, 0.0000)  6 F 2.12

DFT total energy ... -4.25 eV per atom
SG ... Pm-3m, No. 221
DOS(E_F) ... 12.04 states/eV/cell